# MnInSF2 PBE+U optimized geometry
data_MnInSF2
_chemical_formula_sum 'Mn1 In1 S1 F2'
_space_group_name_H-M_alt 'P 1'
_space_group_IT_number 1
_cell_length_a 4.0766
_cell_length_b 4.0766
_cell_length_c 5.4528
_cell_angle_alpha 90.00
_cell_angle_beta 90.00
_cell_angle_gamma 90.00
loop_
_space_group_symop_operation_xyz
'x,y,z'
loop_
_atom_site_label
_atom_site_fract_x
_atom_site_fract_y
_atom_site_fract_z
_atom_site_occupancy
Mn1 0.0000 0.0000 0.0000 1
In1 0.5000 0.5000 0.5000 1
S1 0.0000 0.0000 0.5000 1
F1 0.0000 0.5000 0.0000 1
F2 0.5000 0.0000 0.0000 1
# - Symmetry: P4/mmm (123)
# - V: 18.1 A^3/atom
# - Final energy: -5.24 eV/atom
# - DOS(E_F): 0.330 states/eV/atom